(1)
DFT (PBE) results for a geometry-optimized Ti4TeC structure.

a b c (Å): 7.0701 7.0701 5.3184
angles (deg): 104.13 104.13 119.44
Atoms (fractional coordinates):
1 Ti 0.0938 0.6789 0.8858
2 Ti 0.1362 0.2454 0.6927
3 Ti 0.2454 0.1362 0.1927
4 Ti 0.3211 0.9062 0.6142
5 Ti 0.6789 0.0938 0.3858
6 Ti 0.7546 0.8638 0.8073
7 Ti 0.8638 0.7546 0.3073
8 Ti 0.9062 0.3211 0.1142
9 Te 0.3914 0.6086 0.2500
10 Te 0.6086 0.3914 0.7500
11 C 0.0677 0.9323 0.7500
12 C 0.9323 0.0677 0.2500

- E_form (uncorrected): -0.425 eV/atom
- Electronic total energy: -7.75 eV per atom

***

(2)
DFT (PBE) results for a geometry-optimized Ce2Zn3Pd4 structure.

a b c (Å): 8.4074 8.4074 7.5106
angles (deg): 90.00 90.00 140.90
Atoms (fractional coordinates):
1 Ce 0.1124 0.8876 0.9210
2 Ce 0.3876 0.6124 0.4210
3 Ce 0.6124 0.3876 0.5790
4 Ce 0.8876 0.1124 0.0790
5 Zn 0.0000 0.0000 0.5000
6 Zn 0.0204 0.4796 0.7500
7 Zn 0.4796 0.0204 0.2500
8 Zn 0.5000 0.5000 0.0000
9 Zn 0.5204 0.9796 0.7500
10 Zn 0.9796 0.5204 0.2500
11 Pd 0.1739 0.8261 0.5249
12 Pd 0.1853 0.3147 0.7500
13 Pd 0.3147 0.1853 0.2500
14 Pd 0.3261 0.6739 0.0249
15 Pd 0.6739 0.3261 0.9751
16 Pd 0.6853 0.8147 0.7500
17 Pd 0.8147 0.6853 0.2500
18 Pd 0.8261 0.1739 0.4751

- Electronic total energy: -4.69 eV per atom
- Formation energy: -0.634 eV per atom

***

(3)
DFT (PBE) results for a geometry-optimized Ta2TeO8 structure.

a b c (Å): 5.5049 5.5049 5.5095
angles (deg): 94.36 94.36 68.06
Atoms (fractional coordinates):
1 Ta 0.1276 0.1276 0.1968
2 Ta 0.8724 0.8724 0.8032
3 Te 0.5000 0.5000 0.5000
4 O 0.1032 0.1032 0.8601
5 O 0.1750 0.6133 0.6635
6 O 0.3422 0.3422 0.2428
7 O 0.3867 0.8250 0.3365
8 O 0.6133 0.1750 0.6635
9 O 0.6578 0.6578 0.7572
10 O 0.8250 0.3867 0.3365
11 O 0.8968 0.8968 0.1399

- Excess energy over the best structure of this formula in the dataset: 0 meV per atom
- E_form (uncorrected): -2.020 eV/atom
- Electronic total energy: -8.07 eV per atom

***

(4)
DFT (PBE) results for a geometry-optimized TbSmTm2Tl2 structure.

a b c (Å): 5.0976 9.9935 6.7812
angles (deg): 90.00 90.00 90.00
Atoms (fractional coordinates):
1 Tb 0.0000 0.1906 0.0000
2 Tb 0.0000 0.8094 0.5000
3 Sm 0.5000 0.0406 0.2776
4 Sm 0.5000 0.9594 0.7776
5 Tm 0.0000 0.4588 0.3685
6 Tm 0.0000 0.5412 0.8685
7 Tm 0.5000 0.3172 0.6518
8 Tm 0.5000 0.6828 0.1518
9 Tl 0.0000 0.1409 0.5341
10 Tl 0.0000 0.8591 0.0341
11 Tl 0.5000 0.3698 0.1147
12 Tl 0.5000 0.6302 0.6147

- Electronic total energy: -4.10 eV per atom
- Formation energy: -0.262 eV per atom

***

(5)
DFT (PBE) results for a geometry-optimized PmThGa structure.

a b c (Å): 3.5899 6.3481 8.1934
angles (deg): 109.07 90.07 106.39
Atoms (fractional coordinates):
1 Pm 0.1538 0.3062 0.0981
2 Pm 0.8462 0.6938 0.9019
3 Th 0.1350 0.2692 0.5412
4 Th 0.8650 0.7308 0.4588
5 Ga 0.4650 0.9311 0.2245
6 Ga 0.5350 0.0689 0.7755

- Excess energy over the best structure of this formula in the dataset: 0 meV per atom
- Electronic total energy: -5.35 eV per atom
- Formation energy: -0.283 eV per atom

***

(6)
DFT (PBE) results for a geometry-optimized Dy3Y2Ho4 structure.

a b c (Å): 9.9392 9.9392 6.0970
angles (deg): 94.92 94.92 70.86
Atoms (fractional coordinates):
1 Dy 0.0988 0.9012 0.7500
2 Dy 0.2378 0.4298 0.9137
3 Dy 0.4298 0.2378 0.4137
4 Dy 0.5702 0.7622 0.5863
5 Dy 0.7622 0.5702 0.0863
6 Dy 0.9012 0.0988 0.2500
7 Y 0.0189 0.7384 0.1812
8 Y 0.2616 0.9811 0.3188
9 Y 0.7384 0.0189 0.6812
10 Y 0.9811 0.2616 0.8188
11 Ho 0.0716 0.3568 0.3456
12 Ho 0.3136 0.5944 0.4861
13 Ho 0.3568 0.0716 0.8456
14 Ho 0.4056 0.6864 0.0139
15 Ho 0.5944 0.3136 0.9861
16 Ho 0.6432 0.9284 0.1544
17 Ho 0.6864 0.4056 0.5139
18 Ho 0.9284 0.6432 0.6544

- Excess energy over the best structure of this formula in the dataset: 82 meV per atom
- Electronic total energy: -4.90 eV per atom
- Formation energy: 0.102 eV per atom

***

(7)
DFT (PBE) results for a geometry-optimized Ac2Se2O structure.

a b c (Å): 8.7581 8.7581 7.7395
angles (deg): 90.00 90.00 151.39
Atoms (fractional coordinates):
1 Ac 0.0648 0.9352 0.5000
2 Ac 0.3409 0.6591 0.6097
3 Ac 0.6591 0.3409 0.1097
4 Ac 0.9352 0.0648 0.0000
5 Se 0.2946 0.7054 0.0012
6 Se 0.4637 0.5363 0.3080
7 Se 0.5363 0.4637 0.8080
8 Se 0.7054 0.2946 0.5012
9 O 0.1055 0.8945 0.1977
10 O 0.8945 0.1055 0.6977

- Excess energy over the best structure of this formula in the dataset: 0 meV per atom
- E_form (uncorrected): -2.522 eV/atom
- Electronic total energy: -6.55 eV per atom

***

(8)
DFT (PBE) results for a geometry-optimized SrY2Ir structure.

a b c (Å): 4.9300 4.9300 4.3025
angles (deg): 90.00 90.00 90.00
Atoms (fractional coordinates):
1 Sr 0.0000 0.0000 0.0000
2 Y 0.0000 0.5000 0.5000
3 Y 0.5000 0.0000 0.5000
4 Ir 0.5000 0.5000 0.0000

- Excess energy over the best structure of this formula in the dataset: 476 meV per atom
- Electronic total energy: -5.79 eV per atom
- Formation energy: 0.075 eV per atom

***

The highest electronic total energy belongs to which entry?
TbSmTm2Tl2